NaPuZn2 | Alexandria | PBE | relaxed; E_form = 28.75 kJ per mole of atoms; space group = P4/mmm, No. 123
1.0
2.606 0.000 0.000
0.000 2.606 0.000
0.000 0.000 10.111
Na Zn Pu
1 2 1
Direct
0.500 0.500 0.500
0.000 0.000 0.757
0.000 0.000 0.243
0.500 0.500 0.000